Entry from Alexandria via LeMat-Bulk: an optimized crystal structure of ScBe2Ni (PBE). Values from VASP.

Values from the calculation:
E_form = -0.2018 eV/atom
theoretical density = 4.29 Mg/m³
polymorph energy (0 for the lowest one) = 80 meV per atom
SG = Fm-3m

Cell and atoms, written as Quantum ESPRESSO input:
```
&SYSTEM
  ibrav = 0, nat = 4, ntyp = 3
/
ATOMIC_SPECIES
Ni 58.69 Ni.upf
Be 9.01 Be.upf
Sc 44.96 Sc.upf
ATOMIC_POSITIONS crystal
Ni 0.500 0.500 0.500
Be 0.750 0.750 0.750
Be 0.250 0.250 0.250
Sc 0.000 0.000 0.000
CELL_PARAMETERS angstrom
-3.035 -0.438 2.652
-3.632 -1.279 -1.268
-1.304 -3.708 0.994
```

***

Entry from Alexandria via LeMat-Bulk: an optimized crystal structure of Tm3Ru (PBE). Values from VASP.

Values from the calculation:
E_form = -0.3749 eV/atom
theoretical density = 9.98 Mg/m³
SG = Pnma

Cell and atoms, written as Quantum ESPRESSO input:
```
&SYSTEM
  ibrav = 0, nat = 16, ntyp = 2
/
ATOMIC_SPECIES
Tm 168.93 Tm.upf
Ru 101.07 Ru.upf
ATOMIC_POSITIONS crystal
Tm 0.668 0.324 0.937
Tm 0.668 0.324 0.563
Tm 0.630 0.040 0.250
Tm 0.832 0.824 0.563
Tm 0.332 0.676 0.437
Tm 0.870 0.540 0.250
Tm 0.370 0.960 0.750
Tm 0.168 0.176 0.437
Tm 0.168 0.176 0.063
Tm 0.332 0.676 0.063
Tm 0.832 0.824 0.937
Tm 0.130 0.460 0.750
Ru 0.537 0.616 0.750
Ru 0.037 0.884 0.250
Ru 0.463 0.384 0.250
Ru 0.963 0.116 0.750
CELL_PARAMETERS angstrom
6.214 0.000 0.000
0.000 7.246 0.000
0.000 0.000 8.989
```

***

Entry from Alexandria via LeMat-Bulk: an optimized crystal structure of Ac2PmGa6 (PBE). Values from VASP.

Values from the calculation:
E_form = -0.4019 eV/atom
theoretical density = 7.11 Mg/m³
polymorph energy (0 for the lowest one) = 236 meV per atom
SG = Immm

Cell and atoms, written as Quantum ESPRESSO input:
```
&SYSTEM
  ibrav = 0, nat = 9, ntyp = 3
/
ATOMIC_SPECIES
Ga 69.72 Ga.upf
Ac 227.00 Ac.upf
Pm 145.00 Pm.upf
ATOMIC_POSITIONS crystal
Ga 0.861 0.804 0.474
Ga 0.861 0.474 0.804
Ga 0.139 0.526 0.196
Ga 0.000 0.837 0.163
Ga 0.000 0.163 0.837
Ga 0.139 0.196 0.526
Ac 0.671 0.829 0.829
Ac 0.329 0.171 0.171
Pm 0.500 0.500 0.500
CELL_PARAMETERS angstrom
3.813 0.000 0.000
1.907 8.733 1.637
1.907 4.076 7.895
```

***

Entry from Alexandria via LeMat-Bulk: an optimized crystal structure of Hg2Pd8Au3 (PBE). Values from VASP.

Values from the calculation:
E_form = 0.0266 eV/atom
theoretical density = 13.16 Mg/m³
polymorph energy (0 for the lowest one) = 0 meV per atom
SG = P2/m

Cell and atoms, written as Quantum ESPRESSO input:
```
&SYSTEM
  ibrav = 0, nat = 13, ntyp = 3
/
ATOMIC_SPECIES
Pd 106.42 Pd.upf
Hg 200.59 Hg.upf
Au 196.97 Au.upf
ATOMIC_POSITIONS crystal
Pd 0.000 0.416 0.818
Pd 0.000 0.584 0.182
Pd 0.500 0.915 0.337
Pd 0.000 0.868 0.727
Pd 0.500 0.085 0.663
Pd 0.500 0.356 0.228
Pd 0.500 0.644 0.772
Pd 0.000 0.132 0.273
Hg 0.500 0.705 0.457
Hg 0.500 0.295 0.543
Au 0.500 0.000 0.000
Au 0.000 0.235 0.948
Au 0.000 0.765 0.052
CELL_PARAMETERS angstrom
2.843 0.000 0.000
0.000 7.688 -5.251
0.000 0.036 10.621
```